Version 1
The following is a SCAN calculation of a crystal of Cd2SiPb relaxed with PBEsol, from Alexandria via LeMat-Bulk.

```
data_Cd2SiPb
_cell_length_a 3.4789
_cell_length_b 4.2690
_cell_length_c 6.8959
_cell_angle_alpha 108.03
_cell_angle_beta 104.61
_cell_angle_gamma 90.00
_symmetry_space_group_name_H-M 'P 1'
_symmetry_Int_Tables_number 1
_symmetry_space_group_name_Hall 'P 1'
loop_
_atom_site_label
_atom_site_fract_x
_atom_site_fract_y
_atom_site_fract_z
Cd1 0.9336 0.9336 0.8673
Cd2 0.7578 0.2578 0.5157
Pb1 0.5567 0.5567 0.1135
Si1 0.2518 0.7518 0.5036
```

Results
magnetic moment: 0.000 μB/f.u.
D(E_F): 1.72 states/eV/f.u.

=====

Version 2
The following is a SCAN calculation of a crystal of Cd2SiPb relaxed with PBEsol, from Alexandria via LeMat-Bulk.

```
data_Cd2SiPb
_cell_length_a 3.2944
_cell_length_b 3.2944
_cell_length_c 8.1973
_cell_angle_alpha 90.00
_cell_angle_beta 90.00
_cell_angle_gamma 90.00
_symmetry_space_group_name_H-M 'P 1'
_symmetry_Int_Tables_number 1
_symmetry_space_group_name_Hall 'P 1'
loop_
_atom_site_label
_atom_site_fract_x
_atom_site_fract_y
_atom_site_fract_z
Cd1 0.0000 0.0000 0.7111
Cd2 0.0000 0.0000 0.2889
Pb1 0.5000 0.5000 0.0000
Si1 0.5000 0.5000 0.5000
```

Results
magnetic moment: 0.000 μB/f.u.
D(E_F): 1.74 states/eV/f.u.

=====

Version 3
The following is a SCAN calculation of a crystal of Cd2SiPb relaxed with PBEsol, from Alexandria via LeMat-Bulk.

```
data_Cd2SiPb
_cell_length_a 3.1316
_cell_length_b 5.1867
_cell_length_c 6.3078
_cell_angle_alpha 113.63
_cell_angle_beta 103.37
_cell_angle_gamma 92.36
_symmetry_space_group_name_H-M 'P 1'
_symmetry_Int_Tables_number 1
_symmetry_space_group_name_Hall 'P 1'
loop_
_atom_site_label
_atom_site_fract_x
_atom_site_fract_y
_atom_site_fract_z
Cd1 0.0000 0.0000 0.5000
Cd2 0.5000 0.5000 0.5000
Pb1 0.5000 0.5000 0.0000
Si1 0.0000 0.0000 0.0000
```

Results
magnetic moment: 0.000 μB/f.u.
D(E_F): 1.66 states/eV/f.u.

=====

It comes down to version 1, which is 44 meV/atom more stable than the next structure.

=====

Version 1
The following is a SCAN calculation of a crystal of Cd2SiPb relaxed with PBEsol, from Alexandria via LeMat-Bulk.

```
data_Cd2SiPb
_cell_length_a 3.2627
_cell_length_b 3.2627
_cell_length_c 9.9074
_cell_angle_alpha 80.52
_cell_angle_beta 80.52
_cell_angle_gamma 60.00
_symmetry_space_group_name_H-M 'P 1'
_symmetry_Int_Tables_number 1
_symmetry_space_group_name_Hall 'P 1'
loop_
_atom_site_label
_atom_site_fract_x
_atom_site_fract_y
_atom_site_fract_z
Cd1 0.9957 0.9957 0.0129
Cd2 0.7429 0.7429 0.7714
Pb1 0.5052 0.5052 0.4845
Si1 0.2563 0.2563 0.2312
```

Results
magnetic moment: 0.000 μB/f.u.
D(E_F): 1.92 states/eV/f.u.

=====

Version 2
The following is a SCAN calculation of a crystal of Cd2SiPb relaxed with PBEsol, from Alexandria via LeMat-Bulk.

```
data_Cd2SiPb
_cell_length_a 4.4882
_cell_length_b 4.4882
_cell_length_c 5.4552
_cell_angle_alpha 114.29
_cell_angle_beta 114.29
_cell_angle_gamma 90.00
_symmetry_space_group_name_H-M 'P 1'
_symmetry_Int_Tables_number 1
_symmetry_space_group_name_Hall 'P 1'
loop_
_atom_site_label
_atom_site_fract_x
_atom_site_fract_y
_atom_site_fract_z
Cd1 0.7500 0.2500 0.5000
Cd2 0.2500 0.7500 0.5000
Pb1 0.5000 0.5000 0.0000
Si1 0.0000 0.0000 0.0000
```

Results
magnetic moment: 0.000 μB/f.u.
D(E_F): 1.41 states/eV/f.u.

=====

It comes down to version 1, which is 11 meV/atom more stable than the next structure.

=====

Version 1
The following is a SCAN calculation of a crystal of CdSi2Pb relaxed with PBEsol, from Alexandria via LeMat-Bulk.

```
data_CdSi2Pb
_cell_length_a 6.1265
_cell_length_b 6.1265
_cell_length_c 7.2770
_cell_angle_alpha 114.89
_cell_angle_beta 114.89
_cell_angle_gamma 90.00
_symmetry_space_group_name_H-M 'P 1'
_symmetry_Int_Tables_number 1
_symmetry_space_group_name_Hall 'P 1'
loop_
_atom_site_label
_atom_site_fract_x
_atom_site_fract_y
_atom_site_fract_z
Pb1 0.2500 0.7500 0.5000
Pb2 0.0000 0.0000 0.0000
Si1 0.3898 0.8750 0.2500
Si2 0.8602 0.3750 0.2500
Si3 0.1250 0.1398 0.7500
Si4 0.6250 0.6102 0.7500
Cd1 0.7500 0.2500 0.5000
Cd2 0.5000 0.5000 0.0000
```

Results
magnetic moment: 0.000 μB/f.u.
D(E_F): 2.24 states/eV/f.u.

=====

Version 2
The following is a SCAN calculation of a crystal of CdSi2Pb relaxed with PBEsol, from Alexandria via LeMat-Bulk.

```
data_CdSi2Pb
_cell_length_a 3.3680
_cell_length_b 3.8987
_cell_length_c 7.4234
_cell_angle_alpha 90.00
_cell_angle_beta 119.04
_cell_angle_gamma 90.00
_symmetry_space_group_name_H-M 'P 1'
_symmetry_Int_Tables_number 1
_symmetry_space_group_name_Hall 'P 1'
loop_
_atom_site_label
_atom_site_fract_x
_atom_site_fract_y
_atom_site_fract_z
Cd1 0.5000 0.5000 0.0000
Pb1 0.0000 0.5000 0.5000
Si1 0.8090 0.0000 0.8089
Si2 0.1910 0.0000 0.1911
```

Results
magnetic moment: 0.000 μB/f.u.
D(E_F): 1.43 states/eV/f.u.

=====

It comes down to version 2, which is 55 meV/atom more stable than the next structure.

=====

Version 1
The following is a SCAN calculation of a crystal of TaCdPb relaxed with PBEsol, from Alexandria via LeMat-Bulk.

```
data_TaCdPb
_cell_length_a 3.1006
_cell_length_b 4.0016
_cell_length_c 5.6979
_cell_angle_alpha 110.56
_cell_angle_beta 105.79
_cell_angle_gamma 90.00
_symmetry_space_group_name_H-M 'P 1'
_symmetry_Int_Tables_number 1
_symmetry_space_group_name_Hall 'P 1'
loop_
_atom_site_label
_atom_site_fract_x
_atom_site_fract_y
_atom_site_fract_z
Pb1 0.6696 0.6696 0.3393
Cd1 0.9875 0.9875 0.9750
Ta1 0.3429 0.3429 0.6858
```

Results
magnetic moment: 0.000 μB/f.u.
D(E_F): 1.62 states/eV/f.u.

=====

Version 2
The following is a SCAN calculation of a crystal of TaCdPb relaxed with PBEsol, from Alexandria via LeMat-Bulk.

```
data_TaCdPb
_cell_length_a 4.7266
_cell_length_b 4.7266
_cell_length_c 4.7266
_cell_angle_alpha 60.00
_cell_angle_beta 60.00
_cell_angle_gamma 60.00
_symmetry_space_group_name_H-M 'P 1'
_symmetry_Int_Tables_number 1
_symmetry_space_group_name_Hall 'P 1'
loop_
_atom_site_label
_atom_site_fract_x
_atom_site_fract_y
_atom_site_fract_z
Pb1 0.5000 0.5000 0.5000
Cd1 0.0000 0.0000 0.0000
Ta1 0.7500 0.7500 0.7500
```

Results
magnetic moment: 1.005 μB/f.u.
D(E_F): 2.71 states/eV/f.u.

=====

It comes down to version 1, which is 286 meV/atom more stable than the next structure.

=====

Version 1
The following is a SCAN calculation of a crystal of CdPbW2 relaxed with PBEsol, from Alexandria via LeMat-Bulk.

```
data_CdPbW2
_cell_length_a 3.1568
_cell_length_b 3.1568
_cell_length_c 9.6797
_cell_angle_alpha 80.62
_cell_angle_beta 80.62
_cell_angle_gamma 60.00
_symmetry_space_group_name_H-M 'P 1'
_symmetry_Int_Tables_number 1
_symmetry_space_group_name_Hall 'P 1'
loop_
_atom_site_label
_atom_site_fract_x
_atom_site_fract_y
_atom_site_fract_z
Cd1 0.4906 0.4906 0.5281
Pb1 0.2560 0.2560 0.2320
W1 0.0132 0.0132 0.9605
W2 0.7402 0.7402 0.7794
```

Results
magnetic moment: 0.000 μB/f.u.
D(E_F): 2.10 states/eV/f.u.

=====

Version 2
The following is a SCAN calculation of a crystal of CdPbW2 relaxed with PBEsol, from Alexandria via LeMat-Bulk.

```
data_CdPbW2
_cell_length_a 2.8409
_cell_length_b 5.3884
_cell_length_c 5.3884
_cell_angle_alpha 116.39
_cell_angle_beta 90.00
_cell_angle_gamma 90.00
_symmetry_space_group_name_H-M 'P 1'
_symmetry_Int_Tables_number 1
_symmetry_space_group_name_Hall 'P 1'
loop_
_atom_site_label
_atom_site_fract_x
_atom_site_fract_y
_atom_site_fract_z
Cd1 0.5000 0.0000 0.0000
Pb1 0.5000 0.5000 0.5000
W1 0.0000 0.5000 0.0000
W2 0.0000 0.0000 0.5000
```

Results
magnetic moment: 0.000 μB/f.u.
D(E_F): 2.46 states/eV/f.u.

=====

Version 3
The following is a SCAN calculation of a crystal of CdPbW2 relaxed with PBEsol, from Alexandria via LeMat-Bulk.

```
data_CdPbW2
_cell_length_a 2.8951
_cell_length_b 5.3377
_cell_length_c 5.5986
_cell_angle_alpha 116.45
_cell_angle_beta 101.59
_cell_angle_gamma 96.95
_symmetry_space_group_name_H-M 'P 1'
_symmetry_Int_Tables_number 1
_symmetry_space_group_name_Hall 'P 1'
loop_
_atom_site_label
_atom_site_fract_x
_atom_site_fract_y
_atom_site_fract_z
Cd1 0.5000 0.0000 0.0000
Pb1 0.0000 0.5000 0.0000
W1 0.0000 0.0000 0.5000
W2 0.5000 0.5000 0.5000
```

Results
magnetic moment: 0.000 μB/f.u.
D(E_F): 2.92 states/eV/f.u.

=====

It comes down to version 1, which is 517 meV/atom more stable than the next structure.

=====

Version 1
The following is a SCAN calculation of a crystal of ZnCd2Pb relaxed with PBEsol, from Alexandria via LeMat-Bulk.

```
data_ZnCd2Pb
_cell_length_a 3.2334
_cell_length_b 3.2334
_cell_length_c 9.9398
_cell_angle_alpha 80.64
_cell_angle_beta 80.64
_cell_angle_gamma 60.00
_symmetry_space_group_name_H-M 'P 1'
_symmetry_Int_Tables_number 1
_symmetry_space_group_name_Hall 'P 1'
loop_
_atom_site_label
_atom_site_fract_x
_atom_site_fract_y
_atom_site_fract_z
Pb1 0.5000 0.5000 0.5000
Zn1 0.0000 0.0000 0.0000
Cd1 0.2611 0.2611 0.2168
Cd2 0.7389 0.7389 0.7832
```

Results
magnetic moment: 0.000 μB/f.u.
D(E_F): 1.12 states/eV/f.u.

=====

Version 2
The following is a SCAN calculation of a crystal of ZnCd2Pb relaxed with PBEsol, from Alexandria via LeMat-Bulk.

```
data_ZnCd2Pb
_cell_length_a 3.1633
_cell_length_b 3.1633
_cell_length_c 8.6659
_cell_angle_alpha 90.00
_cell_angle_beta 90.00
_cell_angle_gamma 90.00
_symmetry_space_group_name_H-M 'P 1'
_symmetry_Int_Tables_number 1
_symmetry_space_group_name_Hall 'P 1'
loop_
_atom_site_label
_atom_site_fract_x
_atom_site_fract_y
_atom_site_fract_z
Pb1 0.5000 0.5000 0.0000
Zn1 0.5000 0.5000 0.5000
Cd1 0.0000 0.0000 0.7080
Cd2 0.0000 0.0000 0.2920
```

Results
magnetic moment: 0.000 μB/f.u.
D(E_F): 1.39 states/eV/f.u.

=====

It comes down to version 2, which is 15 meV/atom more stable than the next structure.